[1]
Ga2BiTe | the Alexandria database | PBE | optimized geometry; distance to the lowest polymorph of the same formula = 0 meV/atom; DOS at the Fermi energy = 3.47 states/eV/cell; formation energy (no corrections) = -0.04 eV/atom; size of the total moment = 0.000 μB/atom; VASP energy = -3.305 eV per atom
1.0
-3.2696 3.2696 6.5815
3.2696 -3.2696 6.5815
3.2696 3.2696 -6.5815
Ga Bi Te
4 2 2
Direct
0.1238 0.6250 0.9988 Ga
0.3750 0.3738 0.4988 Ga
0.6262 0.1250 0.0012 Ga
0.8750 0.8762 0.5012 Ga
0.0000 0.0000 0.0000 Bi
0.7500 0.2500 0.5000 Bi
0.2500 0.7500 0.5000 Te
0.5000 0.5000 0.0000 Te



[2]
KTcTe3 | the Alexandria database | PBE | optimized geometry; distance to the lowest polymorph of the same formula = 0 meV/atom; DOS at the Fermi energy = 5.38 states/eV/cell; formation energy (no corrections) = 0.00 eV/atom; size of the total moment = 0.575 μB/atom; VASP energy = -4.176 eV per atom
1.0
5.4611 0.0000 0.0000
0.0000 5.4611 0.0000
0.0000 0.0000 5.4611
K Tc Te
1 1 3
Direct
0.0000 0.0000 0.0000 K
0.5000 0.5000 0.5000 Tc
0.0000 0.5000 0.5000 Te
0.5000 0.0000 0.5000 Te
0.5000 0.5000 0.0000 Te



[3]
CaZnW | the Alexandria database | PBE | optimized geometry; distance to the lowest polymorph of the same formula = 166 meV/atom; DOS at the Fermi energy = 2.45 states/eV/cell; energy relative to the elements = 663 meV/atom; size of the total moment = 0.000 μB/atom; VASP energy = -4.746 eV per atom
1.0
2.9822 0.0000 0.0000
-1.4911 2.5827 0.0000
0.0000 0.0000 7.4929
Ca Zn W
1 1 1
Direct
0.0000 0.0000 0.0000 Ca
0.6667 0.3333 0.6400 Zn
0.3333 0.6667 0.3457 W